1.
40
Lattice="14.823 0.002 0.000 9.423 11.443 0.000 -12.123 -5.722 6.325" Properties=species:S:1:pos:R:3 comment="Nd2Se3 PBE relaxed" final_energy_ev_per_cell=-235.57 space_group=I-42d volume_a3_per_cell=1073 pbc="T T T"
Nd 4.809 3.024 2.381
Nd 2.691 7.510 3.945
Nd 16.157 7.627 0.000
Nd 4.028 -0.682 0.826
Nd 0.677 3.817 3.163
Nd 12.751 6.883 2.480
Nd 4.734 -2.177 5.499
Nd 1.295 -0.253 3.845
Nd 12.220 3.025 0.782
Nd 8.746 7.626 3.163
Nd 11.440 -0.681 2.337
Nd 9.445 3.545 3.989
Nd -2.020 1.789 5.544
Nd 8.089 3.818 0.000
Nd 5.339 6.882 0.682
Nd 6.007 5.468 5.643
Se 4.210 0.261 3.833
Se 3.364 4.368 4.724
Se 0.958 2.179 5.677
Se 2.810 5.541 1.601
Se 14.414 5.077 0.648
Se 2.232 1.795 1.601
Se 15.001 8.807 2.492
Se 0.104 6.302 4.724
Se 12.404 4.126 3.745
Se 1.985 -3.204 4.762
Se 8.922 5.982 5.655
Se 10.911 9.291 1.563
Se 7.589 8.806 0.671
Se -1.054 1.231 2.581
Se 10.222 5.542 1.562
Se -1.348 -1.353 4.764
Se 5.669 7.900 3.811
Se -4.608 0.581 4.764
Se -7.131 -1.597 5.743
Se 9.643 1.796 1.561
Se 6.358 1.233 0.582
Se 18.323 9.292 1.599
Se 7.003 5.076 2.515
Se 6.696 2.517 4.726

2.
11
Lattice="3.829 0.000 -0.751 -0.147 3.826 -0.751 -0.071 -0.073 9.769" Properties=species:S:1:pos:R:3 comment="Dy3Re2N6 PBE relaxed" dos_ef_per_ev_atom=0.406 final_energy_ev_per_cell=-98.47 space_group=I4/mmm volume_a3_per_cell=143 pbc="T T T"
Dy 0.000 0.000 0.000
Dy 2.958 3.074 4.941
Dy 0.653 0.678 3.325
Re 1.452 1.509 7.399
Re 2.158 2.243 0.867
N 0.229 2.227 1.165
N 2.217 0.314 1.165
N 3.382 1.525 7.102
N 1.394 3.438 7.102
N 2.545 2.645 2.838
N 1.065 1.107 5.428

3.
12
Lattice="-0.864 -6.833 -0.143 4.252 3.041 -4.487 4.024 0.525 5.932" Properties=species:S:1:pos:R:3 comment="Tm6PPd2Se3 PBE relaxed" dos_ef_per_ev_atom=0.573 final_energy_ev_per_cell=-69.49 space_group=C2/m volume_a3_per_cell=280 pbc="T T T"
Tm 4.808 -4.100 1.766
Tm 3.484 -2.714 -2.067
Tm 2.604 0.833 -0.463
Tm 6.499 -0.836 0.329
Tm 3.928 -0.553 3.369
Tm 0.912 -2.431 0.973
P 0.000 0.000 0.000
Pd 2.546 -0.251 -3.039
Pd 0.841 -3.541 -1.591
Se 5.421 1.676 -0.805
Se 1.991 -4.943 2.108
Se 3.706 -1.634 0.651

4.
4
Lattice="4.648 0.000 0.000 2.324 4.025 0.000 2.324 1.342 3.795" Properties=species:S:1:pos:R:3 comment="LuZrNiRu PBE relaxed" dos_ef_per_ev_atom=0.583 formation_energy_ev_per_atom=-0.493 final_energy_ev_per_cell=-30.10 space_group=F-43m volume_a3_per_cell=71 pbc="T T T"
Ru 6.972 4.025 2.846
Lu 0.000 0.000 0.000
Zr 4.648 2.683 1.897
Ni 2.324 1.342 0.949